# 1
Here is a crystal of H3RuN relaxed with PBEsol from Alexandria. Energies are from meta-GGA SCAN.

Lattice parameters (Å, degrees): 3.078 3.078 3.078 90.00 90.00 90.00
Fractional coordinates of all 5 atoms:
H (0.000, 0.000, 0.500)
H (0.000, 0.500, 0.000)
H (0.500, 0.000, 0.000)
Ru (0.500, 0.500, 0.500)
N (0.000, 0.000, 0.000)

Results
**Spin magnetization**: 2.187 μB/f.u.



# 2
Here is a crystal of HRuN2 relaxed with PBEsol from Alexandria. Energies are from meta-GGA SCAN.

Lattice parameters (Å, degrees): 5.005 5.005 5.005 34.11 34.11 34.11
Fractional coordinates of all 4 atoms:
H (0.000, 0.000, 0.000)
Ru (0.500, 0.500, 0.500)
N (0.089, 0.089, 0.089)
N (0.911, 0.911, 0.911)

Results
**Spin magnetization**: 0.002 μB/f.u.



# 3
Here is a crystal of H2RuN relaxed with PBEsol from Alexandria. Energies are from meta-GGA SCAN.

Lattice parameters (Å, degrees): 3.267 3.267 3.267 60.00 60.00 60.00
Fractional coordinates of all 4 atoms:
H (0.250, 0.250, 0.250)
H (0.750, 0.750, 0.750)
Ru (0.000, 0.000, 0.000)
N (0.500, 0.500, 0.500)

Results
**Spin magnetization**: 0.000 μB/f.u.



# 4
Here is a crystal of HRuSN2 relaxed with PBEsol from Alexandria. Energies are from meta-GGA SCAN.

Lattice parameters (Å, degrees): 3.657 3.657 4.996 90.00 90.00 90.00
Fractional coordinates of all 5 atoms:
H (0.000, 0.000, 0.000)
Ru (0.500, 0.500, 0.500)
S (0.500, 0.500, 0.000)
N (0.000, 0.500, 0.500)
N (0.500, 0.000, 0.500)

Results
**Spin magnetization**: 0.001 μB/f.u.



# 5
Here is a crystal of H8WS4N2 relaxed with PBEsol from Alexandria. Energies are from meta-GGA SCAN.

Lattice parameters (Å, degrees): 9.437 6.954 12.360 90.00 90.00 90.00
Fractional coordinates of all 60 atoms:
H (0.036, 0.250, 0.140)
H (0.068, 0.750, 0.747)
H (0.124, 0.628, 0.856)
H (0.124, 0.872, 0.856)
H (0.127, 0.250, 0.685)
H (0.155, 0.128, 0.567)
H (0.155, 0.372, 0.567)
H (0.210, 0.750, 0.126)
H (0.290, 0.250, 0.626)
H (0.345, 0.628, 0.067)
H (0.345, 0.872, 0.067)
H (0.373, 0.750, 0.185)
H (0.376, 0.128, 0.356)
H (0.376, 0.372, 0.356)
H (0.432, 0.250, 0.247)
H (0.464, 0.750, 0.640)
H (0.536, 0.250, 0.360)
H (0.568, 0.750, 0.753)
H (0.624, 0.628, 0.644)
H (0.624, 0.872, 0.644)
H (0.627, 0.250, 0.815)
H (0.655, 0.128, 0.933)
H (0.655, 0.372, 0.933)
H (0.710, 0.750, 0.374)
H (0.790, 0.250, 0.874)
H (0.845, 0.628, 0.433)
H (0.845, 0.872, 0.433)
H (0.873, 0.750, 0.315)
H (0.876, 0.128, 0.144)
H (0.876, 0.372, 0.144)
H (0.932, 0.250, 0.253)
H (0.964, 0.750, 0.860)
W (0.243, 0.750, 0.432)
W (0.257, 0.250, 0.932)
W (0.743, 0.750, 0.068)
W (0.757, 0.250, 0.568)
S (0.039, 0.250, 0.868)
S (0.132, 0.006, 0.374)
S (0.132, 0.494, 0.374)
S (0.241, 0.750, 0.609)
S (0.259, 0.250, 0.109)
S (0.368, 0.506, 0.874)
S (0.368, 0.994, 0.874)
S (0.461, 0.750, 0.368)
S (0.539, 0.250, 0.632)
S (0.632, 0.006, 0.126)
S (0.632, 0.494, 0.126)
S (0.741, 0.750, 0.891)
S (0.759, 0.250, 0.391)
S (0.868, 0.506, 0.626)
S (0.868, 0.994, 0.626)
S (0.961, 0.750, 0.132)
N (0.069, 0.750, 0.831)
N (0.181, 0.250, 0.612)
N (0.319, 0.750, 0.112)
N (0.431, 0.250, 0.331)
N (0.569, 0.750, 0.669)
N (0.681, 0.250, 0.888)
N (0.819, 0.750, 0.388)
N (0.931, 0.250, 0.169)

Results
**Spin magnetization**: 0.000 μB/f.u.



# 6
Here is a crystal of ZnHS2N relaxed with PBEsol from Alexandria. Energies are from meta-GGA SCAN.

Lattice parameters (Å, degrees): 3.342 3.342 6.074 90.00 90.00 90.00
Fractional coordinates of all 5 atoms:
Zn (0.000, 0.000, 0.000)
H (0.500, 0.500, 0.500)
S (0.000, 0.500, 0.500)
S (0.500, 0.000, 0.500)
N (0.500, 0.500, 0.000)

Results
**Spin magnetization**: 1.242 μB/f.u.



# 7
Here is a crystal of Sb2H2N relaxed with PBEsol from Alexandria. Energies are from meta-GGA SCAN.

Lattice parameters (Å, degrees): 6.113 6.113 3.309 90.00 90.00 90.00
Fractional coordinates of all 10 atoms:
Sb (0.250, 0.250, 0.000)
Sb (0.250, 0.750, 0.000)
Sb (0.750, 0.250, 0.000)
Sb (0.750, 0.750, 0.000)
H (0.046, 0.454, 0.500)
H (0.454, 0.954, 0.500)
H (0.546, 0.046, 0.500)
H (0.954, 0.546, 0.500)
N (0.000, 0.000, 0.500)
N (0.500, 0.500, 0.500)

Results
**Spin magnetization**: 0.000 μB/f.u.



# 8
Here is a crystal of SbHN2 relaxed with PBEsol from Alexandria. Energies are from meta-GGA SCAN.

Lattice parameters (Å, degrees): 5.100 5.100 5.100 36.54 36.54 36.54
Fractional coordinates of all 4 atoms:
Sb (0.000, 0.000, 0.000)
H (0.500, 0.500, 0.500)
N (0.409, 0.409, 0.409)
N (0.591, 0.591, 0.591)

Results
**Spin magnetization**: 0.000 μB/f.u.



# 9
Here is a crystal of SbHSe2N relaxed with PBEsol from Alexandria. Energies are from meta-GGA SCAN.

Lattice parameters (Å, degrees): 3.640 3.640 6.442 90.00 90.00 90.00
Fractional coordinates of all 5 atoms:
Sb (0.000, 0.000, 0.000)
H (0.500, 0.500, 0.500)
Se (0.000, 0.500, 0.500)
Se (0.500, 0.000, 0.500)
N (0.500, 0.500, 0.000)

Results
**Spin magnetization**: 0.239 μB/f.u.



# 10
Here is a crystal of SbTe2HN relaxed with PBEsol from Alexandria. Energies are from meta-GGA SCAN.

Lattice parameters (Å, degrees): 4.728 4.728 4.295 90.00 90.00 90.00
Fractional coordinates of all 5 atoms:
Sb (0.000, 0.000, 0.000)
Te (0.000, 0.500, 0.500)
Te (0.500, 0.000, 0.500)
H (0.000, 0.000, 0.500)
N (0.500, 0.500, 0.000)

Results
**Spin magnetization**: 2.458 μB/f.u.



# 11
Here is a crystal of ZnTeH12Se3N4 relaxed with PBEsol from Alexandria. Energies are from meta-GGA SCAN.

Lattice parameters (Å, degrees): 13.262 6.575 13.176 90.00 90.00 90.00
Fractional coordinates of all 84 atoms:
Zn (0.239, 0.019, 0.000)
Zn (0.261, 0.019, 0.500)
Zn (0.739, 0.981, 0.000)
Zn (0.761, 0.981, 0.500)
Te (0.048, 0.598, 0.293)
Te (0.452, 0.598, 0.793)
Te (0.548, 0.402, 0.293)
Te (0.952, 0.402, 0.793)
H (0.080, 0.145, 0.507)
H (0.082, 0.890, 0.517)
H (0.095, 0.267, 0.045)
H (0.098, 0.035, 0.619)
H (0.109, 0.102, 0.140)
H (0.118, 0.698, 0.985)
H (0.171, 0.068, 0.820)
H (0.187, 0.299, 0.130)
H (0.204, 0.024, 0.317)
H (0.210, 0.661, 0.069)
H (0.234, 0.650, 0.943)
H (0.247, 0.257, 0.339)
H (0.253, 0.257, 0.839)
H (0.266, 0.650, 0.443)
H (0.290, 0.661, 0.569)
H (0.296, 0.024, 0.817)
H (0.313, 0.299, 0.630)
H (0.329, 0.068, 0.320)
H (0.382, 0.698, 0.485)
H (0.391, 0.102, 0.640)
H (0.402, 0.035, 0.119)
H (0.405, 0.267, 0.545)
H (0.418, 0.890, 0.017)
H (0.420, 0.145, 0.007)
H (0.580, 0.855, 0.507)
H (0.582, 0.110, 0.517)
H (0.595, 0.733, 0.045)
H (0.598, 0.965, 0.619)
H (0.609, 0.898, 0.140)
H (0.618, 0.302, 0.985)
H (0.671, 0.932, 0.820)
H (0.687, 0.701, 0.130)
H (0.704, 0.976, 0.317)
H (0.710, 0.339, 0.069)
H (0.734, 0.350, 0.943)
H (0.747, 0.743, 0.339)
H (0.753, 0.743, 0.839)
H (0.766, 0.350, 0.443)
H (0.790, 0.339, 0.569)
H (0.796, 0.976, 0.817)
H (0.813, 0.701, 0.630)
H (0.829, 0.932, 0.320)
H (0.882, 0.302, 0.485)
H (0.891, 0.898, 0.640)
H (0.902, 0.965, 0.119)
H (0.905, 0.733, 0.545)
H (0.918, 0.110, 0.017)
H (0.920, 0.855, 0.007)
Se (0.008, 0.970, 0.283)
Se (0.045, 0.523, 0.479)
Se (0.232, 0.586, 0.250)
Se (0.268, 0.586, 0.750)
Se (0.455, 0.523, 0.979)
Se (0.492, 0.970, 0.783)
Se (0.508, 0.030, 0.283)
Se (0.545, 0.477, 0.479)
Se (0.732, 0.414, 0.250)
Se (0.768, 0.414, 0.750)
Se (0.955, 0.477, 0.979)
Se (0.992, 0.030, 0.783)
N (0.115, 0.024, 0.542)
N (0.149, 0.189, 0.087)
N (0.194, 0.727, 0.999)
N (0.240, 0.104, 0.854)
N (0.260, 0.104, 0.354)
N (0.306, 0.727, 0.499)
N (0.351, 0.189, 0.587)
N (0.385, 0.024, 0.042)
N (0.615, 0.976, 0.542)
N (0.649, 0.811, 0.087)
N (0.694, 0.273, 0.999)
N (0.740, 0.896, 0.854)
N (0.760, 0.896, 0.354)
N (0.806, 0.273, 0.499)
N (0.851, 0.811, 0.587)
N (0.885, 0.976, 0.042)

Results
**Spin magnetization**: 0.000 μB/f.u.



# 12
Here is a crystal of TiHSeN2 relaxed with PBEsol from Alexandria. Energies are from meta-GGA SCAN.

Lattice parameters (Å, degrees): 3.762 3.762 5.233 90.00 90.00 90.00
Fractional coordinates of all 5 atoms:
Ti (0.000, 0.000, 0.000)
H (0.500, 0.500, 0.500)
Se (0.000, 0.000, 0.500)
N (0.000, 0.500, 0.000)
N (0.500, 0.000, 0.000)

Results
**Spin magnetization**: 1.889 μB/f.u.



# 13
Here is a crystal of Si3H9N relaxed with PBEsol from Alexandria. Energies are from meta-GGA SCAN.

Lattice parameters (Å, degrees): 6.591 6.625 7.713 77.91 82.06 61.02
Fractional coordinates of all 26 atoms:
Si (0.096, 0.201, 0.203)
Si (0.218, 0.689, 0.282)
Si (0.283, 0.938, 0.734)
Si (0.717, 0.062, 0.266)
Si (0.782, 0.311, 0.718)
Si (0.904, 0.799, 0.797)
H (0.122, 0.571, 0.792)
H (0.186, 0.567, 0.463)
H (0.203, 0.563, 0.147)
H (0.218, 0.205, 0.024)
H (0.257, 0.165, 0.340)
H (0.302, 0.160, 0.684)
H (0.397, 0.805, 0.906)
H (0.406, 0.785, 0.594)
H (0.453, 0.678, 0.261)
H (0.547, 0.322, 0.739)
H (0.594, 0.215, 0.406)
H (0.603, 0.195, 0.094)
H (0.698, 0.840, 0.316)
H (0.743, 0.835, 0.660)
H (0.782, 0.795, 0.976)
H (0.797, 0.437, 0.853)
H (0.814, 0.433, 0.537)
H (0.878, 0.429, 0.208)
N (0.012, 0.983, 0.250)
N (0.988, 0.017, 0.750)

Results
**Spin magnetization**: 0.000 μB/f.u.



# 14
Here is a crystal of SiHN2 relaxed with PBEsol from Alexandria. Energies are from meta-GGA SCAN.

Lattice parameters (Å, degrees): 5.200 5.200 5.200 30.98 30.98 30.98
Fractional coordinates of all 4 atoms:
Si (0.000, 0.000, 0.000)
H (0.500, 0.500, 0.500)
N (0.117, 0.117, 0.117)
N (0.883, 0.883, 0.883)

Results
**Spin magnetization**: 0.168 μB/f.u.



# 15
Here is a crystal of SiH3N relaxed with PBEsol from Alexandria. Energies are from meta-GGA SCAN.

Lattice parameters (Å, degrees): 3.371 3.371 3.371 90.00 90.00 90.00
Fractional coordinates of all 5 atoms:
Si (0.000, 0.000, 0.000)
H (0.000, 0.000, 0.500)
H (0.000, 0.500, 0.000)
H (0.500, 0.000, 0.000)
N (0.500, 0.500, 0.500)

Results
**Spin magnetization**: 2.547 μB/f.u.



# 16
Here is a crystal of SrHN3 relaxed with PBEsol from Alexandria. Energies are from meta-GGA SCAN.

Lattice parameters (Å, degrees): 5.152 5.152 5.152 90.00 90.00 90.00
Fractional coordinates of all 5 atoms:
Sr (0.000, 0.000, 0.000)
H (0.500, 0.500, 0.500)
N (0.000, 0.000, 0.500)
N (0.000, 0.500, 0.000)
N (0.500, 0.000, 0.000)

Results
**Spin magnetization**: 8.000 μB/f.u.



# 17
Here is a crystal of SrHN2 relaxed with PBEsol from Alexandria. Energies are from meta-GGA SCAN.

Lattice parameters (Å, degrees): 6.298 6.298 6.298 144.05 144.05 51.75
Fractional coordinates of all 8 atoms:
Sr (0.375, 0.625, 0.750)
Sr (0.625, 0.375, 0.250)
H (0.125, 0.875, 0.250)
H (0.875, 0.125, 0.750)
N (0.000, 0.000, 0.000)
N (0.000, 0.000, 0.500)
N (0.000, 0.500, 0.000)
N (0.500, 0.000, 0.500)

Results
**Spin magnetization**: 0.831 μB/f.u.



# 18
Here is a crystal of TiTe2HN relaxed with PBEsol from Alexandria. Energies are from meta-GGA SCAN.

Lattice parameters (Å, degrees): 5.023 5.023 2.955 90.00 90.00 90.00
Fractional coordinates of all 5 atoms:
Ti (0.000, 0.000, 0.000)
Te (0.000, 0.500, 0.500)
Te (0.500, 0.000, 0.500)
H (0.500, 0.500, 0.000)
N (0.500, 0.500, 0.500)

Results
**Spin magnetization**: 1.491 μB/f.u.



# 19
Here is a crystal of Ti3HN relaxed with PBEsol from Alexandria. Energies are from meta-GGA SCAN.

Lattice parameters (Å, degrees): 4.010 4.010 4.010 90.00 90.00 90.00
Fractional coordinates of all 5 atoms:
Ti (0.000, 0.000, 0.500)
Ti (0.000, 0.500, 0.000)
Ti (0.500, 0.000, 0.000)
H (0.500, 0.500, 0.500)
N (0.000, 0.000, 0.000)

Results
**Spin magnetization**: 0.000 μB/f.u.



| no. | energy (eV/atom) |
| --- | --- |
| 1 | -9.47 |
| 2 | -13.75 |
| 3 | -11.42 |
| 4 | -12.02 |
| 5 | -10.76 |
| 6 | -7.88 |
| 7 | -17.24 |
| 8 | -14.51 |
| 9 | -16.87 |
| 10 | -23.55 |
| 11 | -9.42 |
| 12 | -10.82 |
| 13 | -5.58 |
| 14 | -6.16 |
| 15 | -4.75 |
| 16 | -8.43 |
| 17 | -10.41 |
| 18 | -20.25 |
| 19 | -12.38 |